Arrangement w

Er2AgTe: relaxed, PBE.

Computed properties:
Its total magnetic moment is 0.0 μB/cell. The value obtained for the calculated density is 8.9 g/cm³.

a b c (Å): 4.370 4.112 12.006
angles (deg): 99.86 90.00 90.00
Element x y z (fractional)
1 Er 0.250 0.064 0.129
2 Er 0.250 0.330 0.660
3 Er 0.750 0.670 0.340
4 Er 0.750 0.936 0.871
5 Ag 0.250 0.459 0.917
6 Ag 0.750 0.541 0.083
7 Te 0.250 0.196 0.392
8 Te 0.750 0.804 0.608


Arrangement x

Er2AgTe: relaxed, PBE.

Computed properties:
Its total magnetic moment is 0.0 μB/cell. The value obtained for the calculated density is 8.5 g/cm³.

a b c (Å): 4.141 4.141 7.854
angles (deg): 74.72 74.72 60.00
Element x y z (fractional)
1 Er 0.077 0.077 0.770
2 Er 0.257 0.257 0.229
3 Ag 0.667 0.667 0.998
4 Te 0.499 0.499 0.503


Verdict on stability: arrangement x comes out at the bottom.